1.
This record from Alexandria via LeMat-Bulk describes an optimized crystal structure of Tb2Ho3PuSe6. The functional is PBE.

Cell: 9.135 9.135 8.202 Å, 103.13 103.13 25.68°
Fractional positions:
Tb: 0.164 0.164 0.329
Tb: 0.836 0.836 0.671
Ho: 0.165 0.165 0.835
Ho: 0.500 0.500 0.500
Ho: 0.835 0.835 0.165
Pu: 0.500 0.500 0.000
Se: 0.001 0.001 0.746
Se: 0.331 0.331 0.918
Se: 0.333 0.333 0.414
Se: 0.667 0.667 0.586
Se: 0.669 0.669 0.082
Se: 0.999 0.999 0.254

Values from the calculation:
E_form (uncorrected): -166.8 kJ/mol of atoms
spin magnetization: 6.0 Bohr magnetons per cell

2.
This record from Alexandria via LeMat-Bulk describes an optimized crystal structure of Tb3Ho4PuSe8. The functional is PBE.

Cell: 8.162 8.162 8.162 Å, 59.98 59.98 59.98°
Fractional positions:
Tb: 0.000 0.500 0.500
Tb: 0.500 0.000 0.500
Tb: 0.500 0.500 0.000
Ho: 0.000 0.000 0.500
Ho: 0.000 0.500 0.000
Ho: 0.500 0.000 0.000
Ho: 0.500 0.500 0.500
Pu: 0.000 0.000 0.000
Se: 0.249 0.249 0.249
Se: 0.250 0.748 0.748
Se: 0.252 0.252 0.750
Se: 0.252 0.750 0.252
Se: 0.748 0.250 0.748
Se: 0.748 0.748 0.250
Se: 0.750 0.252 0.252
Se: 0.751 0.751 0.751

Values from the calculation:
E_form (uncorrected): -166.9 kJ/mol of atoms
spin magnetization: 5.9 Bohr magnetons per cell